This record from Alexandria via LeMat-Bulk describes a geometry-optimized AsAuO2F structure. The functional is PBE.

Geometry as POSCAR:
```
AsAuO2F
1.0
3.8751 0.0000 0.0000
0.0000 3.8751 0.0000
0.0000 0.0000 4.2220
Au O As F
1 2 1 1
Direct
0.5000 0.5000 0.5000
0.0000 0.5000 0.0000
0.5000 0.0000 0.0000
0.0000 0.0000 0.0000
0.0000 0.0000 0.5000
```

Calculated values
E = -4.3846 eV/atom
Total magnetic moment = 0.00 μB per atom
Raw formation energy = -0.44 eV per atom

=====

This record from Alexandria via LeMat-Bulk describes a geometry-optimized AsPtAu2F structure. The functional is PBE.

Geometry as POSCAR:
```
AsPtAu2F
1.0
5.2478 0.0000 0.0000
0.0000 4.5275 0.0000
0.0000 0.0000 5.2478
Pt As Au F
1 1 2 1
Direct
0.0000 0.0000 0.0000
0.0000 0.5000 0.0000
0.0000 0.0000 0.5000
0.5000 0.0000 0.0000
0.5000 0.5000 0.5000
```

Calculated values
Relative energy among the computed polymorphs = 1.548 eV per formula unit
E = -3.4896 eV/atom
Total magnetic moment = 0.00 μB per atom
Raw formation energy = 0.33 eV per atom

=====

This record from Alexandria via LeMat-Bulk describes a geometry-optimized AsPtAu2F structure. The functional is PBE.

Geometry as POSCAR:
```
AsPtAu2F
1.0
4.9124 0.0000 0.0000
0.0000 3.8581 0.0000
0.0000 0.0000 4.9124
F Au Pt As
1 2 1 1
Direct
0.0000 0.5000 0.0000
0.5000 0.0000 0.0000
0.0000 0.0000 0.5000
0.5000 0.5000 0.5000
0.0000 0.0000 0.0000
```

Calculated values
Relative energy among the computed polymorphs = 0.000 eV per formula unit
E = -3.7993 eV/atom
Total magnetic moment = 0.00 μB per atom
Raw formation energy = 0.02 eV per atom

=====

This record from Alexandria via LeMat-Bulk describes a geometry-optimized SbAsAuF9 structure. The functional is PBE.

Geometry as POSCAR:
```
SbAsAuF9
1.0
9.3696 0.0000 0.0000
0.0000 8.3167 -0.0221
0.0000 7.0812 11.0401
As F Au Sb
4 36 4 4
Direct
0.3590 0.8605 0.3895
0.6410 0.1395 0.6105
0.8590 0.1395 0.1105
0.1410 0.8605 0.8895
0.3839 0.3111 0.0673
0.2303 0.9954 0.2840
0.6768 0.3870 0.1622
0.8066 0.9269 0.5143
0.2697 0.9954 0.7840
0.8839 0.6889 0.4327
0.9888 0.3438 0.3672
0.7469 0.6186 0.2366
0.4583 0.7980 0.3053
0.5334 0.9575 0.6286
0.3066 0.0731 0.9857
0.7531 0.6186 0.7366
0.6934 0.9269 0.0143
0.2469 0.3814 0.2634
0.1768 0.6130 0.3378
0.0417 0.7980 0.8053
0.8232 0.3870 0.6622
0.3759 0.3438 0.4611
0.7303 0.0046 0.2160
0.7697 0.0046 0.7160
0.9666 0.9575 0.1286
0.3232 0.6130 0.8378
0.6241 0.6562 0.5389
0.5417 0.2020 0.6947
0.1241 0.3438 0.9611
0.4666 0.0425 0.3714
0.6161 0.6889 0.9327
0.5112 0.3438 0.8672
0.8759 0.6562 0.0389
0.4888 0.6562 0.1328
0.0112 0.6562 0.6328
0.2531 0.3814 0.7634
0.9583 0.2020 0.1947
0.1161 0.3111 0.5673
0.0334 0.0425 0.8714
0.1934 0.0731 0.4857
0.2894 0.6227 0.5819
0.2106 0.6227 0.0819
0.7106 0.3773 0.4181
0.7894 0.3773 0.9181
0.3203 0.3403 0.9204
0.1797 0.3403 0.4204
0.6797 0.6597 0.0796
0.8203 0.6597 0.5796
```

Calculated values
E = -4.3859 eV/atom
Total magnetic moment = 0.00 μB per atom
Raw formation energy = -1.98 eV per atom